Computed, not measured: crystalline Ce6Tc3Ru at its relaxed geometry at the PBE level of DFT.

Cell lengths 7.1180, 7.0043, 11.9743 Å; angles 90.00, 126.06, 90.00 degrees
With the nearest neighbours (Å) after each atom.
Fractional coordinates of all 20 atoms:
Ce  0.0157  0.0129  0.2488  2 Tc 2.41-2.63
Ce  0.0157  0.4871  0.7488  2 Tc 2.41-2.63
Ce  0.2427  0.6695  0.0729  1 Ru 2.71, 1 Tc 2.72
Ce  0.2427  0.8305  0.5729  1 Ru 2.71, 1 Tc 2.72
Ce  0.4072  0.1698  0.0730  1 Tc 2.69, 1 Ru 2.76
Ce  0.4072  0.3302  0.5730  1 Tc 2.69, 1 Ru 2.76
Ce  0.5928  0.6698  0.4270  1 Tc 2.69, 1 Ru 2.76
Ce  0.5928  0.8302  0.9270  1 Tc 2.69, 1 Ru 2.76
Ce  0.7573  0.1695  0.4271  1 Ru 2.71, 1 Tc 2.72
Ce  0.7573  0.3305  0.9271  1 Ru 2.71, 1 Tc 2.72
Ce  0.9843  0.5129  0.2512  2 Tc 2.41-2.63
Ce  0.9843  0.9871  0.7512  2 Tc 2.41-2.63
Tc  0.2513  0.1970  0.7507  2 Ce 2.41-2.63
Tc  0.2513  0.3030  0.2507  2 Ce 2.41-2.63
Tc  0.5000  0.0000  0.5000  6 Ce 2.69-2.95
Tc  0.5000  0.5000  0.0000  6 Ce 2.69-2.95
Tc  0.7487  0.6970  0.7493  2 Ce 2.41-2.63
Tc  0.7487  0.8030  0.2493  2 Ce 2.41-2.63
Ru  0.0000  0.0000  0.0000  6 Ce 2.71-2.92
Ru  0.0000  0.5000  0.5000  6 Ce 2.71-2.92

## Properties
For the density of states at the Fermi level, the calculation gives 32.7 states/eV/cell. The theoretical density is 8.5 Mg/m³. For the formation energy, the calculation gives -0.07 eV per atom.